(1)
CeTeN | PBE | relaxed

Summary:
The calculation puts the formation energy from raw total energies at -0.827 eV per atom. The energy above the most stable polymorph in this dataset is 0.444 eV per atom.

```
data_CeTeN
_cell_length_a 3.2694
_cell_length_b 3.2694
_cell_length_c 12.7952
_cell_angle_alpha 90.00
_cell_angle_beta 90.00
_cell_angle_gamma 90.00
_space_group_name_H-M_alt 'I 4 m m'
_space_group_IT_number 107
_space_group_name_Hall 'I 4 -2'
loop_
_atom_site_label
_atom_site_fract_x
_atom_site_fract_y
_atom_site_fract_z
_atom_site_occupancy
Ce1 0.0000 0.0000 0.0000 1
Te1 0.0000 0.0000 0.2659 1
N1 0.0000 0.0000 0.5335 1
```

---

(2)
CeTeN | PBE | relaxed

Summary:
The calculation puts the formation energy from raw total energies at -0.688 eV per atom. The energy above the most stable polymorph in this dataset is 0.583 eV per atom.

```
data_CeTeN
_cell_length_a 6.6158
_cell_length_b 6.9555
_cell_length_c 6.7658
_cell_angle_alpha 90.00
_cell_angle_beta 90.00
_cell_angle_gamma 90.00
_space_group_name_H-M_alt 'C m c m'
_space_group_IT_number 63
_space_group_name_Hall '-C 2c 2'
loop_
_atom_site_label
_atom_site_fract_x
_atom_site_fract_y
_atom_site_fract_z
_atom_site_occupancy
Ce1 0.0000 0.1741 0.2500 1
Te1 0.0000 0.3520 0.7500 1
N1 0.0000 0.0000 0.0000 1
```

---

(3)
Ce5Te5N2 | PBE | relaxed

Summary:
The calculation puts the formation energy from raw total energies at -1.368 eV per atom.

```
data_Ce5Te5N2
_cell_length_a 14.2573
_cell_length_b 4.0767
_cell_length_c 11.1567
_cell_angle_alpha 90.00
_cell_angle_beta 99.82
_cell_angle_gamma 90.00
_space_group_name_H-M_alt 'C 1 2/m 1'
_space_group_IT_number 12
loop_
_space_group_symop_operation_xyz
'x,y,z'
'-x,-y,-z'
'-x,y,-z'
'x,-y,z'
'x+1/2,y+1/2,z'
'-x+1/2,-y+1/2,-z'
'-x+1/2,y+1/2,-z'
'x+1/2,-y+1/2,z'
loop_
_atom_site_label
_atom_site_fract_x
_atom_site_fract_y
_atom_site_fract_z
_atom_site_occupancy
Ce1 0.0000 0.0000 0.0000 1
Ce2 0.0979 0.0000 0.3320 1
Ce3 0.1327 0.5000 0.7878 1
Te1 0.0000 0.5000 0.5000 1
Te2 0.1647 0.5000 0.0936 1
Te3 0.2238 0.0000 0.6131 1
N1 0.0422 0.0000 0.8054 1
```

---

(4)
Ce2TeN | PBE | relaxed

Summary:
The calculation puts the formation energy from raw total energies at -0.846 eV per atom. The energy above the most stable polymorph in this dataset is 0.515 eV per atom.

```
data_Ce2TeN
_cell_length_a 4.5555
_cell_length_b 4.5555
_cell_length_c 22.9796
_cell_angle_alpha 90.00
_cell_angle_beta 90.00
_cell_angle_gamma 120.00
_space_group_name_H-M_alt 'R -3 m'
_space_group_IT_number 166
_space_group_name_Hall '-R 3 2"'
loop_
_atom_site_label
_atom_site_fract_x
_atom_site_fract_y
_atom_site_fract_z
_atom_site_occupancy
Ce1 0.0000 0.0000 0.0878 1
Te1 0.0000 0.0000 0.5000 1
N1 0.0000 0.0000 0.0000 1
```

---

(5)
Ce2ThTeN2 | PBE | relaxed

Summary:
The calculation puts the formation energy from raw total energies at -1.087 eV per atom.

```
data_Ce2ThTeN2
_cell_length_a 4.6340
_cell_length_b 4.6340
_cell_length_c 6.5879
_cell_angle_alpha 90.00
_cell_angle_beta 90.00
_cell_angle_gamma 90.00
_space_group_name_H-M_alt 'P 4/m m m'
_space_group_IT_number 123
_space_group_name_Hall '-P 4 2'
loop_
_atom_site_label
_atom_site_fract_x
_atom_site_fract_y
_atom_site_fract_z
_atom_site_occupancy
Ce1 0.0000 0.0000 0.2266 1
Th1 0.5000 0.5000 0.0000 1
Te1 0.5000 0.5000 0.5000 1
N1 0.0000 0.5000 0.0000 1
```

---

(6)
CeTiTe2N | PBE | relaxed

Summary:
The calculation puts the formation energy from raw total energies at -1.051 eV per atom.

```
data_CeTiTe2N
_cell_length_a 3.9718
_cell_length_b 3.9718
_cell_length_c 14.2522
_cell_angle_alpha 90.00
_cell_angle_beta 90.00
_cell_angle_gamma 90.00
_space_group_name_H-M_alt 'P 4/n m m'
_space_group_IT_number 129
loop_
_space_group_symop_operation_xyz
'x,y,z'
'-x,-y,-z'
'-y+1/2,x,z'
'y+1/2,-x,-z'
'-x+1/2,-y+1/2,z'
'x+1/2,y+1/2,-z'
'y,-x+1/2,z'
'-y,x+1/2,-z'
'x+1/2,-y,-z'
'-x+1/2,y,z'
'-y,-x,-z'
'y,x,z'
'-x,y+1/2,-z'
'x,-y+1/2,z'
'y+1/2,x+1/2,-z'
'-y+1/2,-x+1/2,z'
loop_
_atom_site_label
_atom_site_fract_x
_atom_site_fract_y
_atom_site_fract_z
_atom_site_occupancy
Ce1 0.2500 0.2500 0.0792 1
Ti1 0.2500 0.2500 0.5839 1
Te1 0.2500 0.2500 0.3886 1
Te2 0.2500 0.2500 0.7812 1
N1 0.2500 0.7500 0.0000 1
```